11
Lattice="5.267 0.000 0.000 -2.633 4.561 0.000 0.000 0.000 5.419" Properties=species:S:1:pos:R:3 comment="Mn2Al2InO6, relaxed, DFT PBE with a Hubbard U" rho_g_cm3=4.8 e_tot_ev_per_cell=-76.19 pbc="T T T"
Mn 0.000 3.041 0.000
Mn 2.633 1.520 0.000
Al 0.000 3.041 2.710
Al 2.633 1.520 2.710
In 0.000 0.000 2.710
O -1.045 1.810 3.848
O -1.588 2.751 1.571
O 2.090 0.000 3.848
O 1.045 1.810 1.571
O 3.177 0.000 1.571
O 1.588 2.751 3.848